[1]
Compound: Nd6Tm2Cd
Source: Alexandria via LeMat-Bulk
Functional: PBE
Structure: optimized geometry

a = 6.5765 Å, b = 6.6849 Å, c = 15.4517 Å
α = 81.06°, β = 83.63°, γ = 61.69°
Positions (direct):
Nd 0.0047 0.3279 0.4204
Nd 0.1571 0.8088 0.8661
Nd 0.2584 0.2419 0.9789
Nd 0.2778 0.6513 0.0968
Nd 0.4497 0.7903 0.4677
Nd 0.4803 0.4715 0.3095
Nd 0.5197 0.5285 0.6905
Nd 0.5503 0.2097 0.5323
Nd 0.7222 0.3487 0.9032
Nd 0.7416 0.7581 0.0211
Nd 0.8429 0.1912 0.1339
Nd 0.9953 0.6721 0.5796
Tm 0.0878 0.0996 0.6530
Tm 0.3835 0.0514 0.2250
Tm 0.6165 0.9486 0.7750
Tm 0.9122 0.9004 0.3470
Cd 0.1015 0.4157 0.7770
Cd 0.8985 0.5843 0.2230

Summary:
Density   7.40 g/cm³
Offset from the most stable computed form   0.000 eV per atom
Formation energy   -0.260 eV/f.u.

***

[2]
Compound: HgN2F2
Source: Alexandria via LeMat-Bulk
Functional: PBE
Structure: optimized geometry

a = 6.5183 Å, b = 3.6910 Å, c = 8.0618 Å
α = 90.00°, β = 97.63°, γ = 90.00°
Positions (direct):
Hg 0.0000 0.0000 0.0000
Hg 0.5000 0.5000 0.0000
N 0.0259 0.0000 0.4369
N 0.4741 0.5000 0.5631
N 0.5259 0.5000 0.4369
N 0.9741 0.0000 0.5631
F 0.1821 0.5000 0.1224
F 0.3179 0.0000 0.8776
F 0.6821 0.0000 0.1224
F 0.8179 0.5000 0.8776

Summary:
Density   4.61 g/cm³
Offset from the most stable computed form   0.000 eV per atom
Formation energy (no corrections)   -0.823 eV per atom

***

[3]
Compound: Li2Tl2P
Source: Alexandria via LeMat-Bulk
Functional: PBE
Structure: optimized geometry

a = 7.3152 Å, b = 7.3152 Å, c = 4.2869 Å
α = 90.00°, β = 90.00°, γ = 90.00°
Positions (direct):
Li 0.1623 0.3377 0.0000
Li 0.3377 0.8377 0.0000
Li 0.6623 0.1623 0.0000
Li 0.8377 0.6623 0.0000
Tl 0.1467 0.6467 0.5000
Tl 0.3533 0.1467 0.5000
Tl 0.6467 0.8533 0.5000
Tl 0.8533 0.3533 0.5000
P 0.0000 0.0000 0.5000
P 0.5000 0.5000 0.5000

Summary:
Density   6.57 g/cm³
Offset from the most stable computed form   0.203 eV per atom
Formation energy   0.108 eV/f.u.

***

[4]
Compound: Ca2ZnCr
Source: Alexandria via LeMat-Bulk
Functional: PBE
Structure: optimized geometry

a = 3.7266 Å, b = 3.7266 Å, c = 7.4761 Å
α = 90.00°, β = 90.00°, γ = 90.00°
Positions (direct):
Ca 0.0000 0.0000 0.2407
Ca 0.0000 0.0000 0.7593
Zn 0.5000 0.5000 0.0000
Cr 0.5000 0.5000 0.5000

Summary:
Density   3.16 g/cm³
Formation energy   0.958 eV/f.u.

***

[5]
Compound: LuZrCu
Source: Alexandria via LeMat-Bulk
Functional: PBE
Structure: optimized geometry

a = 3.3011 Å, b = 3.3011 Å, c = 11.5470 Å
α = 90.00°, β = 90.00°, γ = 90.00°
Positions (direct):
Lu 0.0000 0.0000 0.0000
Lu 0.5000 0.5000 0.5000
Zr 0.0000 0.0000 0.6985
Zr 0.5000 0.5000 0.1985
Cu 0.0000 0.0000 0.3374
Cu 0.5000 0.5000 0.8374

Summary:
Density   8.70 g/cm³
Formation energy   -0.313 eV/f.u.

***

[6]
Compound: Ti3Si2H
Source: Alexandria via LeMat-Bulk
Functional: PBE
Structure: optimized geometry

a = 5.3401 Å, b = 5.3401 Å, c = 6.9678 Å
α = 103.19°, β = 103.19°, γ = 57.07°
Positions (direct):
Ti 0.1575 0.8425 0.7500
Ti 0.2156 0.4899 0.3531
Ti 0.4899 0.2156 0.8531
Ti 0.5101 0.7844 0.1469
Ti 0.7844 0.5101 0.6469
Ti 0.8425 0.1575 0.2500
Si 0.0213 0.2770 0.0066
Si 0.2770 0.0213 0.5066
Si 0.7230 0.9787 0.4934
Si 0.9787 0.7230 0.9934
H 0.4929 0.5071 0.2500
H 0.5071 0.4929 0.7500

Summary:
Final energy   -6.875 eV per atom
Density   4.14 g/cm³

***

[7]
Compound: InTcW2
Source: Alexandria via LeMat-Bulk
Functional: PBE
Structure: optimized geometry

a = 3.2171 Å, b = 4.4695 Å, c = 9.2546 Å
α = 90.00°, β = 90.00°, γ = 90.00°
Positions (direct):
In 0.0000 0.0000 0.0000
In 0.5000 0.5000 0.5000
Tc 0.0000 0.0000 0.5000
Tc 0.5000 0.5000 0.0000
W 0.0000 0.5000 0.2369
W 0.0000 0.5000 0.7631
W 0.5000 0.0000 0.2631
W 0.5000 0.0000 0.7369

Summary:
Density   14.49 g/cm³
Offset from the most stable computed form   0.000 eV per atom
Formation energy   1.155 eV/f.u.

***

[8]
Compound: PmAl2IO8
Source: Alexandria via LeMat-Bulk
Functional: PBE
Structure: optimized geometry

a = 4.6993 Å, b = 4.6993 Å, c = 6.7926 Å
α = 98.14°, β = 98.14°, γ = 80.44°
Positions (direct):
Pm 0.0000 0.0000 0.0000
Al 0.4496 0.4496 0.7848
Al 0.5504 0.5504 0.2152
I 0.0000 0.0000 0.5000
O 0.2062 0.7768 0.2878
O 0.2232 0.7938 0.7122
O 0.2614 0.2614 0.5471
O 0.3320 0.3320 0.0022
O 0.6680 0.6680 0.9978
O 0.7386 0.7386 0.4529
O 0.7768 0.2062 0.2878
O 0.7938 0.2232 0.7122

Summary:
Density   5.18 g/cm³
Formation energy (no corrections)   -1.931 eV per atom

***

[9]
Compound: HPbIO2
Source: Alexandria via LeMat-Bulk
Functional: PBE
Structure: optimized geometry

a = 4.2036 Å, b = 4.2036 Å, c = 6.4373 Å
α = 90.00°, β = 90.00°, γ = 90.00°
Positions (direct):
H 0.0000 0.0000 0.0000
Pb 0.5000 0.5000 0.5000
I 0.5000 0.5000 0.0000
O 0.0000 0.5000 0.5000
O 0.5000 0.0000 0.5000

Summary:
Density   5.36 g/cm³
Offset from the most stable computed form   0.000 eV per atom

***

[10]
Compound: NaLaF2
Source: Alexandria via LeMat-Bulk
Functional: PBE
Structure: optimized geometry

a = 6.0947 Å, b = 6.0947 Å, c = 13.2632 Å
α = 90.00°, β = 90.00°, γ = 90.00°
Positions (direct):
Na 0.0000 0.0000 0.0000
Na 0.0000 0.5000 0.2500
Na 0.5000 0.0000 0.7500
Na 0.5000 0.5000 0.5000
La 0.0000 0.0000 0.5000
La 0.0000 0.5000 0.7500
La 0.5000 0.0000 0.2500
La 0.5000 0.5000 0.0000
F 0.0704 0.2500 0.6250
F 0.2500 0.5704 0.8750
F 0.2500 0.9296 0.3750
F 0.4296 0.2500 0.1250
F 0.5704 0.7500 0.1250
F 0.7500 0.0704 0.3750
F 0.7500 0.4296 0.8750
F 0.9296 0.7500 0.6250

Summary:
Density   2.69 g/cm³
Offset from the most stable computed form   0.100 eV per atom
Formation energy (no corrections)   -2.471 eV per atom

***

[11]
Compound: ReRuW
Source: Alexandria via LeMat-Bulk
Functional: PBE
Structure: optimized geometry

a = 2.7671 Å, b = 2.7671 Å, c = 6.8343 Å
α = 90.00°, β = 90.00°, γ = 120.00°
Positions (direct):
Re 0.0000 0.0000 0.0000
Ru 0.6667 0.3333 0.3207
W 0.3333 0.6667 0.6508

Summary:
Density   17.26 g/cm³
Offset from the most stable computed form   0.107 eV per atom
Formation energy   0.448 eV/f.u.

***

[12]
Compound: AcTl4Pd4
Source: Alexandria via LeMat-Bulk
Functional: PBE
Structure: optimized geometry

a = 9.1132 Å, b = 9.1132 Å, c = 5.5548 Å
α = 90.00°, β = 90.00°, γ = 90.00°
Positions (direct):
Ac 0.2500 0.2500 0.2500
Ac 0.7500 0.7500 0.7500
Tl 0.0882 0.6447 0.1540
Tl 0.1447 0.9118 0.6540
Tl 0.3553 0.5882 0.6540
Tl 0.4118 0.8553 0.1540
Tl 0.5882 0.1447 0.8460
Tl 0.6447 0.4118 0.3460
Tl 0.8553 0.0882 0.3460
Tl 0.9118 0.3553 0.8460
Pd 0.0435 0.6115 0.6551
Pd 0.1115 0.9565 0.1551
Pd 0.3885 0.5435 0.1551
Pd 0.4565 0.8885 0.6551
Pd 0.5435 0.1115 0.3449
Pd 0.6115 0.4565 0.8449
Pd 0.8885 0.0435 0.8449
Pd 0.9565 0.3885 0.3449

Summary:
Density   10.58 g/cm³
Formation energy   -2.084 eV/f.u.